A relaxed Cd2TeBr crystal, computed with PBEsol.

abc: 4.3745 5.4204 5.4204
angles: 70.18 66.20 66.20
Last column: nearest neighbours and their distance in Å.
Element x y z (fractional)
Cd: 0.2464 0.7536 0.7536  2 Br 2.90, 2 Te 2.94
Te: 0.0000 0.5000 0.5000  4 Cd 2.94
Br: 0.5000 0.0000 0.0000  4 Cd 2.90
Cd: 0.7536 0.2464 0.2464  2 Br 2.90, 2 Te 2.94

Properties
Energy relative to the elements, uncorrected = -18 kJ per mole of atoms
Total DFT energy (no corrections) = -0.0786 Ha/atom
DOS(E_F) = 1.02 states/eV per cell
Space-group type = Immm, No. 71

---

A relaxed CdTe2Br crystal, computed with PBEsol.

abc: 5.2093 5.2093 5.2093
angles: 60.00 60.00 60.00
Last column: nearest neighbours and their distance in Å.
Element x y z (fractional)
Te: 0.7500 0.7500 0.7500  4 Br 3.19, 4 Cd 3.19
Cd: 0.5000 0.5000 0.5000  8 Te 3.19
Te: 0.2500 0.2500 0.2500  4 Cd 3.19, 4 Br 3.19
Br: 0.0000 0.0000 0.0000  8 Te 3.19

Properties
E above lowest polymorph = 0.222 eV per atom
Energy relative to the elements, uncorrected = 15 kJ per mole of atoms
Total DFT energy (no corrections) = -0.0872 Ha/atom
DOS(E_F) = 2.94 states/eV per cell
Space-group type = Fm-3m, No. 225

---

A relaxed CdTe2Br crystal, computed with PBEsol.

abc: 3.8504 4.0672 9.0726
angles: 90.00 90.00 118.25
Last column: nearest neighbours and their distance in Å.
Element x y z (fractional)
Te: 0.0000 0.0000 0.9879  2 Te 2.85, 2 Cd 2.90
Te: 0.5000 0.0000 0.2192  2 Te 2.85
Br: 0.0000 0.0000 0.5446  2 Cd 2.67
Cd: 0.5000 0.0000 0.7483  2 Br 2.67, 2 Te 2.90

Properties
E above lowest polymorph = 0.000 eV per atom
Energy relative to the elements, uncorrected = -6 kJ per mole of atoms
Total DFT energy (no corrections) = -0.0954 Ha/atom
DOS(E_F) = 1.37 states/eV per cell
Space-group type = Cmm2, No. 35

---

A relaxed TlCd3Br crystal, computed with PBEsol.

abc: 5.5946 5.5946 5.5946
angles: 90.00 90.00 90.00
Last column: nearest neighbours and their distance in Å.
Element x y z (fractional)
Cd: 0.5000 0.0000 0.0000  2 Br 2.80
Tl: 0.5000 0.5000 0.5000  12 Cd 3.96
Br: 0.0000 0.0000 0.0000  6 Cd 2.80
Cd: 0.0000 0.5000 0.0000  2 Br 2.80
Cd: 0.0000 0.0000 0.5000  2 Br 2.80

Properties
Energy relative to the elements, uncorrected = 47 kJ per mole of atoms
Total DFT energy (no corrections) = -0.0417 Ha/atom
DOS(E_F) = 2.04 states/eV per cell
Space-group type = Pm-3m, No. 221

---

A relaxed TlCdBr3 crystal, computed with PBEsol.

abc: 4.0948 9.2852 15.1705
angles: 90.00 90.00 90.00
Last column: nearest neighbours and their distance in Å.
Element x y z (fractional)
Br: 0.7500 0.4766 0.3943  3 Cd 2.80-2.81
Tl: 0.2500 0.9386 0.6767  8 Br 3.30-3.48
Br: 0.7500 0.7096 0.7843  1 Cd 2.67
Br: 0.2500 0.0234 0.8943  3 Cd 2.80-2.81
Cd: 0.2500 0.6682 0.4437  6 Br 2.67-2.81
Br: 0.2500 0.1619 0.4922  2 Cd 2.76
Tl: 0.7500 0.0614 0.3233  8 Br 3.30-3.48
Br: 0.2500 0.2904 0.2157  1 Cd 2.67
Cd: 0.7500 0.3318 0.5563  6 Br 2.67-2.81
Br: 0.7500 0.3381 0.9922  2 Cd 2.76
Br: 0.7500 0.8381 0.5078  2 Cd 2.76
Tl: 0.2500 0.4386 0.8233  8 Br 3.30-3.48
Br: 0.7500 0.2096 0.7157  1 Cd 2.67
Br: 0.2500 0.7904 0.2843  1 Cd 2.67
Br: 0.7500 0.9766 0.1057  3 Cd 2.80-2.81
Cd: 0.7500 0.8318 0.9437  6 Br 2.67-2.81
Tl: 0.7500 0.5614 0.1767  8 Br 3.30-3.48
Br: 0.2500 0.5234 0.6057  3 Cd 2.80-2.81
Cd: 0.2500 0.1682 0.0563  6 Br 2.67-2.81
Br: 0.2500 0.6619 0.0078  2 Cd 2.76

Properties
E above lowest polymorph = 0.000 eV per atom
Energy relative to the elements, uncorrected = -80 kJ per mole of atoms
Total DFT energy (no corrections) = -0.0996 Ha/atom
DOS(E_F) = 0.00 states/eV per cell
Space-group type = Pnma, No. 62

---

A relaxed TlCdBr crystal, computed with PBEsol.

abc: 3.7168 3.7168 6.4713
angles: 106.65 106.65 90.14
Last column: nearest neighbours and their distance in Å.
Element x y z (fractional)
Tl: 0.3271 0.3271 0.6542  4 Cd 3.29, 4 Br 3.43
Br: 0.0135 0.0135 0.0270  4 Cd 3.14-3.15, 4 Tl 3.43
Cd: 0.6594 0.6594 0.3189  4 Br 3.14-3.15, 4 Tl 3.29

Properties
Energy relative to the elements, uncorrected = -28 kJ per mole of atoms
Total DFT energy (no corrections) = -0.0805 Ha/atom
DOS(E_F) = 0.34 states/eV per cell
Space-group type = Fmm2, No. 42

---

A relaxed TlCdBr3 crystal, computed with PBEsol.

abc: 5.3902 5.3902 5.3902
angles: 90.00 90.00 90.00
Last column: nearest neighbours and their distance in Å.
Element x y z (fractional)
Br: 0.0000 0.5000 0.0000  2 Cd 2.70
Br: 0.5000 0.0000 0.0000  2 Cd 2.70
Cd: 0.0000 0.0000 0.0000  6 Br 2.70
Br: 0.0000 0.0000 0.5000  2 Cd 2.70
Tl: 0.5000 0.5000 0.5000  12 Br 3.81

Properties
E above lowest polymorph = 0.100 eV per atom
Energy relative to the elements, uncorrected = -70 kJ per mole of atoms
Total DFT energy (no corrections) = -0.0960 Ha/atom
Space-group type = Pm-3m, No. 221

---

A relaxed CdWBr2 crystal, computed with PBEsol.

abc: 4.7484 4.7484 4.7484
angles: 60.00 60.00 60.00
Last column: nearest neighbours and their distance in Å.
Element x y z (fractional)
Br: 0.2500 0.2500 0.2500  4 Cd 2.91, 4 W 2.91
Cd: 0.5000 0.5000 0.5000  8 Br 2.91
W: 0.0000 0.0000 0.0000  8 Br 2.91
Br: 0.7500 0.7500 0.7500  4 W 2.91, 4 Cd 2.91

Properties
E above lowest polymorph = 0.753 eV per atom
Energy relative to the elements, uncorrected = 96 kJ per mole of atoms
Total DFT energy (no corrections) = -0.1355 Ha/atom
DOS(E_F) = 3.09 states/eV per cell
Space-group type = Fm-3m, No. 225

---

A relaxed CdWBr2 crystal, computed with PBEsol.

abc: 3.0979 4.6092 5.8289
angles: 90.00 90.00 90.00
Last column: nearest neighbours and their distance in Å.
Element x y z (fractional)
Br: 0.0000 0.0000 0.0000  4 Cd 2.78, 2 Br 3.10
W: 0.0000 0.5000 0.5000  4 Br 2.78, 2 W 3.10
Cd: 0.5000 0.5000 0.0000  4 Br 2.78, 2 Cd 3.10
Br: 0.5000 0.0000 0.5000  4 W 2.78, 2 Br 3.10

Properties
E above lowest polymorph = 0.639 eV per atom
Energy relative to the elements, uncorrected = 86 kJ per mole of atoms
Total DFT energy (no corrections) = -0.1396 Ha/atom
DOS(E_F) = 3.77 states/eV per cell
Space-group type = Pmmm, No. 47

---

A relaxed CdWBr2 crystal, computed with PBEsol.

abc: 3.0484 5.0357 6.9791
angles: 111.15 102.61 90.00
Last column: nearest neighbours and their distance in Å.
Element x y z (fractional)
Cd: 0.0000 0.5000 0.0000  4 W 2.94, 2 Cd 3.05, 4 Br 3.25
W: 0.5000 0.0000 0.0000  4 Br 2.56
Br: 0.1629 0.1629 0.3257  2 W 2.56
Br: 0.8371 0.8371 0.6743  2 W 2.56

Properties
E above lowest polymorph = 0.000 eV per atom
Energy relative to the elements, uncorrected = 24 kJ per mole of atoms
Total DFT energy (no corrections) = -0.1631 Ha/atom
DOS(E_F) = 2.17 states/eV per cell
Space-group type = Immm, No. 71

---

A relaxed Zr2CdWBr crystal, computed with PBEsol.

abc: 4.7945 5.2225 5.2225
angles: 90.00 90.00 90.00
Last column: nearest neighbours and their distance in Å.
Element x y z (fractional)
W: 0.5000 0.5000 0.5000  8 Zr 3.54, 4 Br 3.69
Zr: 0.0000 0.5000 0.0000  2 Cd 2.61
Br: 0.5000 0.0000 0.0000  2 Cd 2.40
Zr: 0.0000 0.0000 0.5000  2 Cd 2.61
Cd: 0.0000 0.0000 0.0000  2 Br 2.40, 4 Zr 2.61

Properties
Energy relative to the elements, uncorrected = 198 kJ per mole of atoms
Total DFT energy (no corrections) = -0.1820 Ha/atom
DOS(E_F) = 4.53 states/eV per cell
Space-group type = P4/mmm, No. 123

---

A relaxed Y2CdBr crystal, computed with PBEsol.

abc: 3.6739 4.7136 5.9273
angles: 90.00 90.00 90.00
Last column: nearest neighbours and their distance in Å.
Element x y z (fractional)
Y: 0.3746 0.0000 0.5000  2 Br 2.96, 4 Cd 2.99
Y: 0.8757 0.5000 0.0000  2 Cd 2.96, 4 Br 2.99
Cd: 0.8743 0.5000 0.5000  6 Y 2.96-2.99
Br: 0.3755 0.0000 0.0000  6 Y 2.96-2.99

Properties
Energy relative to the elements, uncorrected = -65 kJ per mole of atoms
Total DFT energy (no corrections) = -0.1782 Ha/atom
DOS(E_F) = 2.95 states/eV per cell
Space-group type = Pmmm, No. 47

---

Among the records above, which one has the highest total DFT energy (no corrections)?
TlCd3Br

---

Please write out number 2 again, unchanged.
A relaxed CdTe2Br crystal, computed with PBEsol.

abc: 5.2093 5.2093 5.2093
angles: 60.00 60.00 60.00
Last column: nearest neighbours and their distance in Å.
Element x y z (fractional)
Te: 0.7500 0.7500 0.7500  4 Br 3.19, 4 Cd 3.19
Cd: 0.5000 0.5000 0.5000  8 Te 3.19
Te: 0.2500 0.2500 0.2500  4 Cd 3.19, 4 Br 3.19
Br: 0.0000 0.0000 0.0000  8 Te 3.19

Properties
E above lowest polymorph = 0.222 eV per atom
Energy relative to the elements, uncorrected = 15 kJ per mole of atoms
Total DFT energy (no corrections) = -0.0872 Ha/atom
DOS(E_F) = 2.94 states/eV per cell
Space-group type = Fm-3m, No. 225